Material: YGe2IrPd
Method: DFT, PBE
State: optimized geometry

Computed properties:
The calculated total energy is -6.675 eV/atom. Its symmetry is I-4m2. The value obtained for the energy of formation is -0.724 eV per atom. The value obtained for the density is 9.71 g/cm³.

a = 5.9813 Å, b = 5.9813 Å, c = 5.9813 Å
α = 139.03°, β = 139.03°, γ = 59.33°
Closest atoms and distances in Å follow each position.
Fractional positions:
Y 0.0000 0.0000 0.0000  8 Ge 3.21, 4 Ir 3.34, 4 Pd 3.34
Ge 0.3815 0.3815 0.0000  1 Ge 2.46, 2 Ir 2.50, 2 Pd 2.50
Ge 0.6185 0.6185 0.0000  1 Ge 2.46, 2 Ir 2.50, 2 Pd 2.50
Ir 0.7500 0.2500 0.5000  4 Ge 2.50
Pd 0.2500 0.7500 0.5000  4 Ge 2.50

Material: SrBeHg2
Method: DFT, PBE
State: optimized geometry

Computed properties:
The calculated total energy is -1.541 eV/atom. Its symmetry is Pm. The value obtained for the energy of formation is -0.039 eV per atom. The value obtained for the density is 7.45 g/cm³.

a = 4.8288 Å, b = 4.6663 Å, c = 4.9261 Å
α = 90.00°, β = 91.02°, γ = 90.00°
Closest atoms and distances in Å follow each position.
Fractional positions:
Sr 0.0000 0.0000 0.0000  8 Hg 3.34-3.62
Be 0.3371 0.5000 0.5025  4 Hg 2.36-2.47
Hg 0.4681 0.0000 0.5078  2 Be 2.42
Hg 0.8484 0.5000 0.4908  2 Be 2.36-2.47

Material: NdHoInOs
Method: DFT, PBE
State: optimized geometry

Computed properties:
The calculated total energy is -5.985 eV/atom. Its symmetry is F-43m. The value obtained for the energy of formation is -0.156 eV per atom. The value obtained for the density is 10.75 g/cm³.

a = 5.1188 Å, b = 5.1188 Å, c = 5.1188 Å
α = 60.00°, β = 60.00°, γ = 60.00°
Closest atoms and distances in Å follow each position.
Fractional positions:
Nd 0.0000 0.0000 0.0000  4 In 3.13, 4 Os 3.13
Ho 0.5000 0.5000 0.5000  4 In 3.13, 4 Os 3.13
In 0.7500 0.7500 0.7500  4 Ho 3.13, 4 Nd 3.13
Os 0.2500 0.2500 0.2500  4 Ho 3.13, 4 Nd 3.13

Material: Sm3CoSi3
Method: DFT, PBE
State: optimized geometry

Computed properties:
The calculation puts the raw formation energy at -5.1 eV/f.u. The calculated total energy is -6.084 eV/atom. Its symmetry is C2/m. The value obtained for the density is 6.75 g/cm³.

a = 5.8027 Å, b = 5.8027 Å, c = 13.7132 Å
α = 109.85°, β = 109.85°, γ = 42.85°
Closest atoms and distances in Å follow each position.
Fractional positions:
Sm 0.0230 0.0230 0.3801  6 Si 2.94-3.22, 4 Co 2.97-3.24
Sm 0.1004 0.1004 0.9189  7 Si 3.00-3.13
Sm 0.2488 0.2488 0.2287  5 Si 2.89-3.01
Sm 0.7512 0.7512 0.7713  5 Si 2.89-3.01
Sm 0.8996 0.8996 0.0811  7 Si 3.00-3.13
Sm 0.9770 0.9770 0.6199  6 Si 2.94-3.22, 4 Co 2.97-3.24
Co 0.2548 0.2548 0.5805  4 Si 2.32-2.51
Co 0.7452 0.7452 0.4195  4 Si 2.32-2.51
Si 0.3519 0.3519 0.4552  3 Co 2.32-2.38
Si 0.3891 0.3891 0.9239  2 Si 2.54-2.56
Si 0.4409 0.4409 0.7562  1 Co 2.51, 1 Si 2.56
Si 0.5591 0.5591 0.2438  1 Co 2.51, 1 Si 2.56
Si 0.6109 0.6109 0.0761  2 Si 2.54-2.56
Si 0.6481 0.6481 0.5448  3 Co 2.32-2.38

Material: Sc4AsW
Method: DFT, PBE
State: optimized geometry

Computed properties:
The calculated total energy is -6.631 eV/atom. Its symmetry is F-43m. The value obtained for the energy of formation is 0.524 eV per atom. The value obtained for the density is 5.93 g/cm³.

a = 5.5798 Å, b = 5.5798 Å, c = 5.5798 Å
α = 60.00°, β = 60.00°, γ = 60.00°
Closest atoms and distances in Å follow each position.
Fractional positions:
Sc 0.1229 0.1229 0.1229  6 Sc 2.74-2.84
Sc 0.1229 0.1229 0.6314  6 Sc 2.74-2.84
Sc 0.1229 0.6314 0.1229  6 Sc 2.74-2.84
Sc 0.6314 0.1229 0.1229  6 Sc 2.74-2.84
As 0.5000 0.5000 0.5000  12 Sc 3.28, 4 W 3.42
W 0.7500 0.7500 0.7500  12 Sc 3.27, 4 As 3.42

Material: Li4DySn2
Method: DFT, PBE
State: optimized geometry

Computed properties:
The calculated total energy is -3.352 eV/atom. Its symmetry is P4_2/mnm. The value obtained for the energy of formation is -0.457 eV per atom. The value obtained for the density is 4.91 g/cm³. The calculation puts the excess energy over the best structure of this formula in the dataset at 11 meV per atom.

a = 7.9059 Å, b = 7.9059 Å, c = 4.6323 Å
α = 90.00°, β = 90.00°, γ = 90.00°
Closest atoms and distances in Å follow each position.
Fractional positions:
Li 0.1101 0.3585 0.0000  3 Sn 2.78, 6 Li 2.78-3.06
Li 0.1415 0.6101 0.5000  3 Sn 2.78, 6 Li 2.78-3.06
Li 0.3585 0.1101 0.0000  3 Sn 2.78, 6 Li 2.78-3.06
Li 0.3899 0.8585 0.5000  3 Sn 2.78, 6 Li 2.78-3.06
Li 0.6101 0.1415 0.5000  3 Sn 2.78, 6 Li 2.78-3.06
Li 0.6415 0.8899 0.0000  3 Sn 2.78, 6 Li 2.78-3.06
Li 0.8585 0.3899 0.5000  3 Sn 2.78, 6 Li 2.78-3.06
Li 0.8899 0.6415 0.0000  3 Sn 2.78, 6 Li 2.78-3.06
Dy 0.0000 0.0000 0.5000  6 Sn 3.26-3.28, 4 Li 3.28
Dy 0.5000 0.5000 0.0000  6 Sn 3.26-3.28, 4 Li 3.28
Sn 0.2082 0.7918 0.0000  6 Li 2.78
Sn 0.2918 0.2918 0.5000  6 Li 2.78
Sn 0.7082 0.7082 0.5000  6 Li 2.78
Sn 0.7918 0.2082 0.0000  6 Li 2.78

Material: BaLiOs2
Method: DFT, PBE
State: optimized geometry

Computed properties:
The calculated total energy is -5.472 eV/atom. Its symmetry is F-43m. The value obtained for the energy of formation is 1.102 eV per atom. The value obtained for the density is 11.39 g/cm³. The calculation puts the excess energy over the best structure of this formula in the dataset at 866 meV per atom.

a = 4.7645 Å, b = 4.7645 Å, c = 4.7645 Å
α = 60.00°, β = 60.00°, γ = 60.00°
Closest atoms and distances in Å follow each position.
Fractional positions:
Ba 0.0000 0.0000 0.0000  4 Os 2.92, 4 Li 2.92
Li 0.2500 0.2500 0.2500  4 Ba 2.92, 4 Os 2.92
Os 0.5000 0.5000 0.5000  4 Os 2.92, 4 Li 2.92
Os 0.7500 0.7500 0.7500  4 Ba 2.92, 4 Os 2.92

Material: Hg3TePb
Method: DFT, PBE
State: optimized geometry

Computed properties:
The calculation puts the raw formation energy at 1.7 eV/f.u. The calculated total energy is -1.202 eV/atom. Its symmetry is Pm-3m. The value obtained for the density is 8.21 g/cm³. The calculation puts the excess energy over the best structure of this formula in the dataset at 0 meV per atom.

a = 5.7420 Å, b = 5.7420 Å, c = 5.7420 Å
α = 90.00°, β = 90.00°, γ = 90.00°
Closest atoms and distances in Å follow each position.
Fractional positions:
Hg 0.0000 0.0000 0.5000  2 Pb 2.87
Hg 0.0000 0.5000 0.0000  2 Pb 2.87
Hg 0.5000 0.0000 0.0000  2 Pb 2.87
Te 0.5000 0.5000 0.5000  12 Hg 4.06
Pb 0.0000 0.0000 0.0000  6 Hg 2.87

Material: Pm2Sm3Tl2
Method: DFT, PBE
State: optimized geometry

Computed properties:
The calculated total energy is -4.263 eV/atom. Its symmetry is C2/m. The value obtained for the energy of formation is -0.207 eV per atom. The value obtained for the density is 8.76 g/cm³. The calculation puts the excess energy over the best structure of this formula in the dataset at 0 meV per atom.

a = 5.5278 Å, b = 5.5278 Å, c = 8.8338 Å
α = 108.27°, β = 108.27°, γ = 60.03°
Closest atoms and distances in Å follow each position.
Fractional positions:
Pm 0.0767 0.0767 0.2300  4 Tl 3.34-3.46, 3 Sm 3.57
Pm 0.9233 0.9233 0.7700  4 Tl 3.34-3.46, 3 Sm 3.57
Sm 0.3456 0.3456 0.0368  1 Tl 3.19, 3 Sm 3.25, 3 Pm 3.57
Sm 0.5000 0.5000 0.5000  6 Tl 3.42, 2 Sm 3.81
Sm 0.6544 0.6544 0.9632  1 Tl 3.19, 3 Sm 3.25, 3 Pm 3.57
Tl 0.2167 0.2167 0.6498  4 Sm 3.19-3.42, 4 Pm 3.34-3.46
Tl 0.7833 0.7833 0.3502  4 Sm 3.19-3.42, 4 Pm 3.34-3.46

Material: CeNdCu2Si2
Method: DFT, PBE
State: optimized geometry

Computed properties:
The calculation puts the raw formation energy at -3.5 eV/f.u. The calculated total energy is -5.548 eV/atom. Its symmetry is P-3m1. The value obtained for the density is 6.44 g/cm³.

a = 4.1697 Å, b = 4.1697 Å, c = 8.0091 Å
α = 90.00°, β = 90.00°, γ = 120.00°
Closest atoms and distances in Å follow each position.
Fractional positions:
Ce 0.0000 0.0000 0.0000  6 Si 3.10, 6 Cu 3.10
Nd 0.0000 0.0000 0.5000  6 Cu 3.16, 6 Si 3.16
Cu 0.3333 0.6667 0.2447  3 Si 2.41
Cu 0.6667 0.3333 0.7553  3 Si 2.41
Si 0.3333 0.6667 0.7564  3 Cu 2.41
Si 0.6667 0.3333 0.2436  3 Cu 2.41